[1]
Computed, not measured: an optimized crystal structure of MgRhCl at the PBE-GGA level of DFT.

a = 10.663 Å, b = 3.598 Å, c = 3.596 Å
α = 90.03°, β = 89.61°, γ = 89.76°
Last column: magnetic moment on the atom in μB.
Fractional positions:
Mg 0.032 0.692 0.643  0.00
Mg 0.620 0.696 0.653  0.00
Rh 0.817 0.193 0.650  0.26
Rh 0.835 0.692 0.149  0.26
Cl 0.175 0.190 0.655  0.00
Cl 0.476 0.682 0.155  0.00

- Calculated density: 3.92 Mg/m³
- Energy relative to the lowest polymorph listed for this composition: 10 meV/atom
- Energy relative to the elements, uncorrected: -2.10 eV per formula unit



[2]
Computed, not measured: an optimized crystal structure of GaCuGe at the PBE-GGA level of DFT.

a = 3.110 Å, b = 3.110 Å, c = 5.789 Å
α = 90.00°, β = 90.00°, γ = 120.00°
Fractional positions:
Ge 0.333 0.667 0.648
Cu 0.667 0.333 0.334
Ga 0.000 0.000 0.018

- Calculated density: 7.05 Mg/m³
- DFT formation energy: 25 kJ/mol of formula units



[3]
Computed, not measured: an optimized crystal structure of Sm3DyAl8 at the PBE-GGA level of DFT.

a = 5.613 Å, b = 5.613 Å, c = 9.759 Å
α = 73.29°, β = 73.29°, γ = 60.00°
Fractional positions:
Sm 0.375 0.375 0.875
Sm 0.000 0.000 0.001
Sm 0.500 0.500 0.500
Dy 0.875 0.875 0.374
Al 0.937 0.437 0.189
Al 0.438 0.938 0.686
Al 0.437 0.437 0.189
Al 0.938 0.938 0.686
Al 0.188 0.188 0.437
Al 0.687 0.687 0.938
Al 0.437 0.937 0.189
Al 0.938 0.438 0.686

- Calculated density: 5.48 Mg/m³
- DFT formation energy: -592 kJ/mol of formula units
- Energy relative to the lowest polymorph listed for this composition: 0 meV/atom



[4]
Computed, not measured: an optimized crystal structure of PaAlZnGe at the PBE-GGA level of DFT.

a = 4.781 Å, b = 4.781 Å, c = 4.781 Å
α = 60.00°, β = 60.00°, γ = 60.00°
Last column: magnetic moment on the atom in μB.
Fractional positions:
Ge 0.000 0.000 0.000  0.04
Pa 0.250 0.250 0.250  0.24
Zn 0.500 0.500 0.500  0.01
Al 0.750 0.750 0.750  0.00

- Calculated density: 8.51 Mg/m³
- DFT formation energy: -28 kJ/mol of formula units
- Energy relative to the lowest polymorph listed for this composition: 208 meV/atom